1.
DFT (GGA-PBE) results for an optimized crystal structure of ZrBe2W.

```
data_ZrBe2W
_cell_length_a 3.422
_cell_length_b 3.419
_cell_length_c 9.366
_cell_angle_alpha 90.00
_cell_angle_beta 90.00
_cell_angle_gamma 90.00
_space_group_name_H-M_alt 'A m m 2'
_space_group_IT_number 38
loop_
_space_group_symop_operation_xyz
'x,y,z'
'-x,-y,z'
'-x,y,z'
'x,-y,z'
'x,y+1/2,z+1/2'
'-x,-y+1/2,z+1/2'
'-x,y+1/2,z+1/2'
'x,-y+1/2,z+1/2'
loop_
_atom_site_label
_atom_site_type_symbol
_atom_site_fract_x
_atom_site_fract_y
_atom_site_fract_z
_atom_site_occupancy
Zr1 Zr 0.000 0.000 0.000 1
Be1 Be 0.000 0.000 0.727 1
Be2 Be 0.500 0.000 0.600 1
W1 W 0.500 0.000 0.296 1
```

Calculated values
DOS(E_F)   5.936 states/eV/cell
ΔE_f   -0.05 eV/atom
Crystal system   orthorhombic
ΔE to the lowest computed polymorph   0 meV per atom

=====

2.
DFT (GGA-PBE) results for an optimized crystal structure of ZrBe2W.

```
data_ZrBe2W
_cell_length_a 3.886
_cell_length_b 3.912
_cell_length_c 7.258
_cell_angle_alpha 90.00
_cell_angle_beta 90.00
_cell_angle_gamma 90.00
_space_group_name_H-M_alt 'C m m 2'
_space_group_IT_number 35
loop_
_space_group_symop_operation_xyz
'x,y,z'
'-x,-y,z'
'-x,y,z'
'x,-y,z'
'x+1/2,y+1/2,z'
'-x+1/2,-y+1/2,z'
'-x+1/2,y+1/2,z'
'x+1/2,-y+1/2,z'
loop_
_atom_site_label
_atom_site_type_symbol
_atom_site_fract_x
_atom_site_fract_y
_atom_site_fract_z
_atom_site_occupancy
Zr1 Zr 0.000 0.000 0.000 1
Be1 Be 0.000 0.000 0.581 1
Be2 Be 0.000 0.500 0.725 1
W1 W 0.000 0.500 0.346 1
```

Calculated values
DOS(E_F)   4.553 states/eV/cell
ΔE_f   0.16 eV/atom
Crystal system   orthorhombic
ΔE to the lowest computed polymorph   207 meV per atom